Computed, not measured: a geometry-optimized La2NiP2O structure at the PBE+U level of DFT.

Space group: P4/mmm (123)
D(E_F) in states/eV/f.u.: 5.69
Total energy in eV/atom: -4.722
Calculated volume in Å³ per atom: 26.04
Spin magnetization in μB per cell: 1.35

abc: 3.2789 3.2789 14.5324
angles: 90.00 90.00 90.00
Closest atoms and distances in Å follow each position.
Fractional coordinates of all 6 atoms:
La1 0.0000 0.0000 0.1454  1 O 2.11
La2 0.0000 0.0000 0.8546  1 O 2.11
Ni1 0.0000 0.0000 0.5000  2 P 2.24
P1 0.0000 0.0000 0.3457  1 Ni 2.24
P2 0.0000 0.0000 0.6543  1 Ni 2.24
O1 0.0000 0.0000 0.0000  2 La 2.11